Entry 1:
Compound: CsLiPdW
Source: OQMD via LeMat-Bulk
Functional: PBE
Structure: relaxed

Its spin magnetization is 0.016 μB per formula unit. The calculation puts the total DFT energy (no corrections) at -3.88 eV/atom. Its offset from the most stable computed form is 0 meV/atom.

It has space group F-43m (No. 216), with a = 6.795 Å, b = 6.795 Å, c = 6.795 Å, α = 90.00°, β = 90.00° and γ = 90.00°. The asymmetric unit holds Cs at (0.000, 0.000, 0.000), Li at (0.250, 0.250, 0.250), Pd at (0.000, 0.000, 0.500) and W at (0.250, 0.250, 0.750).

---

Entry 2:
Compound: SmNpTl
Source: OQMD via LeMat-Bulk
Functional: PBE
Structure: relaxed

Its spin magnetization is 5.272 μB per formula unit. The calculation puts the total DFT energy (no corrections) at -6.10 eV/atom. Its offset from the most stable computed form is 0 meV/atom.

It has space group F-43m (No. 216), with a = 7.421 Å, b = 7.421 Å, c = 7.421 Å, α = 90.00°, β = 90.00° and γ = 90.00°. The asymmetric unit holds Sm at (0.000, 0.000, 0.000), Np at (0.000, 0.000, 0.500) and Tl at (0.250, 0.250, 0.750).

---

Entry 3:
Compound: AlSi6TcB
Source: OQMD via LeMat-Bulk
Functional: PBE
Structure: relaxed

Its spin magnetization is 0.020 μB per formula unit. The calculation puts the total DFT energy (no corrections) at -5.41 eV/atom.

It has space group F-43m (No. 216), with a = 7.880 Å, b = 7.880 Å, c = 7.880 Å, α = 90.00°, β = 90.00° and γ = 90.00°. The asymmetric unit holds Al at (0.000, 0.000, 0.000), Si at (0.015, 0.250, 0.750), Tc at (0.000, 0.000, 0.500) and B at (0.250, 0.250, 0.250).

---

Entry 4:
Compound: LaZnCo
Source: OQMD via LeMat-Bulk
Functional: PBE
Structure: relaxed

Its spin magnetization is 0.013 μB per formula unit. The calculation puts the total DFT energy (no corrections) at -4.69 eV/atom.

It has space group C2/m (No. 12), with a = 11.350 Å, b = 4.418 Å, c = 4.905 Å, α = 90.00°, β = 103.70° and γ = 90.00°. The asymmetric unit holds La at (0.124, 0.000, 0.325), Zn at (0.092, 0.500, 0.809) and Co at (0.198, 0.000, 0.890).

---

Entry 5:
Compound: ZnIn2FeCu4
Source: OQMD via LeMat-Bulk
Functional: PBE
Structure: relaxed

Its spin magnetization is 2.663 μB per formula unit. The calculation puts the total DFT energy (no corrections) at -3.64 eV/atom. Its offset from the most stable computed form is 0 meV/atom.

It has space group P4/mmm (No. 123), with a = 4.170 Å, b = 4.170 Å, c = 6.581 Å, α = 90.00°, β = 90.00° and γ = 90.00°. The asymmetric unit holds Zn at (0.000, 0.000, 0.000), In at (0.000, 0.000, 0.500), In at (0.500, 0.500, 0.000), Fe at (0.500, 0.500, 0.500) and Cu at (0.000, 0.500, 0.252).

---

Entry 6:
Compound: Pr2ErN3
Source: OQMD via LeMat-Bulk
Functional: PBE
Structure: relaxed

Its spin magnetization is 0.001 μB per formula unit. The calculation puts the total DFT energy (no corrections) at -7.93 eV/atom.

It has space group P-3m1 (No. 164), with a = 3.5846 Å, b = 3.5846 Å, c = 8.8000 Å, α = 90.00°, β = 90.00° and γ = 120.00°. The asymmetric unit holds Pr at (0.3333, 0.6667, 0.3267), Er at (0.0000, 0.0000, 0.0000), N at (0.0000, 0.0000, 0.5000) and N at (0.3333, 0.6667, 0.8473).

---

Entry 7:
Compound: NaTlSiNi
Source: OQMD via LeMat-Bulk
Functional: PBE
Structure: relaxed

Its spin magnetization is 0.001 μB per formula unit. The calculation puts the total DFT energy (no corrections) at -3.17 eV/atom. Its offset from the most stable computed form is 194 meV/atom.

It has space group F-43m (No. 216), with a = 6.684 Å, b = 6.684 Å, c = 6.684 Å, α = 90.00°, β = 90.00° and γ = 90.00°. The asymmetric unit holds Na at (0.000, 0.000, 0.000), Tl at (0.000, 0.000, 0.500), Si at (0.250, 0.250, 0.750) and Ni at (0.250, 0.250, 0.250).

---

Entry 8:
Compound: TbErAg2Se4
Source: OQMD via LeMat-Bulk
Functional: PBE
Structure: relaxed

Its spin magnetization is 0.003 μB per formula unit. The calculation puts the total DFT energy (no corrections) at -4.82 eV/atom.

It has space group Cmm2 (No. 35), with a = 9.542 Å, b = 9.557 Å, c = 4.308 Å, α = 90.00°, β = 90.00° and γ = 90.00°. The asymmetric unit holds Tb at (0.000, 0.000, 0.000), Er at (0.000, 0.500, 0.592), Ag at (0.250, 0.250, 0.796), Se at (0.000, 0.300, 0.080) and Se at (0.204, 0.000, 0.512).

---

Entry 9:
Compound: RbRe3Sb5
Source: OQMD via LeMat-Bulk
Functional: PBE
Structure: relaxed

Its spin magnetization is 1.869 μB per formula unit. The calculation puts the total DFT energy (no corrections) at -6.24 eV/atom.

It has space group P6/mmm (No. 191), with a = 5.6121 Å, b = 5.6121 Å, c = 9.2709 Å, α = 90.00°, β = 90.00° and γ = 120.00°. The asymmetric unit holds Rb at (0.0000, 0.0000, 0.0000), Re at (0.0000, 0.5000, 0.5000), Sb at (0.0000, 0.0000, 0.5000) and Sb at (0.3333, 0.6667, 0.2523).

---

Entry 10:
Compound: TmBPb
Source: OQMD via LeMat-Bulk
Functional: PBE
Structure: relaxed

Its spin magnetization is 0.000 μB per formula unit. The calculation puts the total DFT energy (no corrections) at -4.07 eV/atom. Its offset from the most stable computed form is 503 meV/atom.

It has space group F-43m (No. 216), with a = 6.642 Å, b = 6.642 Å, c = 6.642 Å, α = 90.00°, β = 90.00° and γ = 90.00°. The asymmetric unit holds Tm at (0.000, 0.000, 0.000), B at (0.250, 0.250, 0.750) and Pb at (0.250, 0.250, 0.250).

---

Entry 11:
Compound: Er2Tm3Lu2Ni2Te2
Source: OQMD via LeMat-Bulk
Functional: PBE
Structure: relaxed

Its spin magnetization is 0.023 μB per formula unit. The calculation puts the total DFT energy (no corrections) at -5.14 eV/atom. Its offset from the most stable computed form is 1 meV/atom.

It has space group Imm2 (No. 44), with a = 3.827 Å, b = 15.392 Å, c = 9.468 Å, α = 90.00°, β = 90.00° and γ = 90.00°. The asymmetric unit holds Er at (0.000, 0.135, 0.000), Tm at (0.000, 0.000, 0.418), Tm at (0.000, 0.353, 0.147), Lu at (0.000, 0.315, 0.795), Ni at (0.000, 0.236, 0.487), Te at (0.000, 0.000, 0.756) and Te at (0.000, 0.500, 0.652).

---

Entry 12:
Compound: CsHo4As3
Source: OQMD via LeMat-Bulk
Functional: PBE
Structure: relaxed

Its spin magnetization is 0.041 μB per formula unit. The calculation puts the total DFT energy (no corrections) at -4.96 eV/atom.

It has space group P4/mmm (No. 123), with a = 4.824 Å, b = 4.824 Å, c = 11.089 Å, α = 90.00°, β = 90.00° and γ = 90.00°. The asymmetric unit holds Cs at (0.000, 0.000, 0.000), Ho at (0.000, 0.500, 0.344), As at (0.000, 0.000, 0.500) and As at (0.500, 0.500, 0.209).

---

The highest spin magnetization belongs to which entry?
SmNpTl

---

Which of these has the lowest total DFT energy (no corrections)?
Pr2ErN3

---

Among the records above, which one has the highest total DFT energy (no corrections)?
NaTlSiNi